Entry 1:
# Ac12PrSm3 | the Alexandria database | PBE | optimized geometry
data_Ac12PrSm3
_chemical_formula_sum 'Ac12 Pr1 Sm3'
_space_group_name_H-M_alt 'P 4/m m m'
_space_group_IT_number 123
_space_group_name_Hall '-P 4 2'
_cell_length_a 5.5305
_cell_length_b 5.5305
_cell_length_c 22.0449
_cell_angle_alpha 90.00
_cell_angle_beta 90.00
_cell_angle_gamma 90.00
loop_
_atom_site_label
_atom_site_fract_x
_atom_site_fract_y
_atom_site_fract_z
Ac1 0.0000 0.0000 0.0000
Ac2 0.0000 0.0000 0.2492
Ac3 0.0000 0.0000 0.5000
Ac4 0.0000 0.5000 0.1247
Ac5 0.0000 0.5000 0.3741
Pr1 0.5000 0.5000 0.5000
Sm1 0.5000 0.5000 0.0000
Sm2 0.5000 0.5000 0.2493
# Total DFT energy (no corrections) ... -4.239 eV per atom


Entry 2:
# HoMg3Pd | the Alexandria database | PBE | optimized geometry
data_HoMg3Pd
_chemical_formula_sum 'Ho2 Mg6 Pd2'
_space_group_name_H-M_alt 'P 1 21/m 1'
_space_group_IT_number 11
_space_group_name_Hall '-P 2yb'
_cell_length_a 5.4258
_cell_length_b 5.8162
_cell_length_c 7.4374
_cell_angle_alpha 90.00
_cell_angle_beta 107.51
_cell_angle_gamma 90.00
loop_
_atom_site_label
_atom_site_fract_x
_atom_site_fract_y
_atom_site_fract_z
Ho1 0.1059 0.2500 0.3948
Mg1 0.0258 0.2500 0.8997
Mg2 0.4901 0.5006 0.7952
Pd1 0.3271 0.7500 0.4629
# Energy above the most stable polymorph in this dataset ... 0.000 eV per atom


Entry 3:
# Pr2GaO | the Alexandria database | PBE | optimized geometry
data_Pr2GaO
_chemical_formula_sum 'Pr4 Ga2 O2'
_space_group_name_H-M_alt 'A m m 2'
_space_group_IT_number 38
_space_group_name_Hall 'A 2 -2'
_cell_length_a 3.5392
_cell_length_b 3.4459
_cell_length_c 15.1771
_cell_angle_alpha 90.00
_cell_angle_beta 90.00
_cell_angle_gamma 90.00
loop_
_atom_site_label
_atom_site_fract_x
_atom_site_fract_y
_atom_site_fract_z
Pr1 0.0000 0.0000 0.0000
Pr2 0.5000 0.0000 0.3009
Ga1 0.5000 0.0000 0.6256
O1 0.0000 0.0000 0.8397
# Energy above the most stable polymorph in this dataset ... 0.088 eV per atom
# Uncorrected formation energy ... -1.435 eV/atom


Entry 4:
# NiHgIr2 | the Alexandria database | PBE | optimized geometry
data_NiHgIr2
_chemical_formula_sum 'Ni1 Hg1 Ir2'
_space_group_name_H-M_alt 'P m m 2'
_space_group_IT_number 25
_space_group_name_Hall 'P 2 -2'
_cell_length_a 2.7931
_cell_length_b 3.7281
_cell_length_c 5.9445
_cell_angle_alpha 90.00
_cell_angle_beta 90.00
_cell_angle_gamma 90.00
loop_
_atom_site_label
_atom_site_fract_x
_atom_site_fract_y
_atom_site_fract_z
Ni1 0.0000 0.0000 0.0000
Hg1 0.5000 0.5000 0.2580
Ir1 0.0000 0.0000 0.5695
Ir2 0.5000 0.5000 0.7743
# Total DFT energy (no corrections) ... -5.665 eV per atom


DOS(E_F) list, top to bottom, in states/eV/f.u.: 27.20, 2.41, 2.76, 4.99
Spin magnetization list, top to bottom, in μB per formula unit: 0.000, 0.000, 0.000, 0.000